Mn3PbO | PBE+U | optimized geometry

Lattice parameters (Å, degrees): 5.2875 5.2875 5.2875 90.00 90.00 90.00
Space group Pm-3m (No. 221)
Asymmetric unit:
Mn (0.0000, 0.0000, 0.5000) [3 per cell]
Pb (0.0000, 0.0000, 0.0000) [1 per cell]
O (0.5000, 0.5000, 0.5000) [1 per cell]

Crystal system: cubic
Magnetization: 15.0 μB per cell
Electronic total energy: -5.069 eV/atom
D(E_F): 0.0 states/eV/f.u.



Mn4PbO8 | PBE+U | optimized geometry

Lattice parameters (Å, degrees): 10.7823 5.8133 7.8021 90.00 128.64 90.00
Space group C2/m (No. 12)
Asymmetric unit:
Mn (0.0000, 0.2480, 0.0000) [4 per cell]
Mn (0.2406, 0.0000, 0.9839) [4 per cell]
Pb (0.0000, 0.5000, 0.5000) [2 per cell]
O (0.0178, 0.0000, 0.8471) [4 per cell]
O (0.0258, 0.5000, 0.8562) [4 per cell]
O (0.2316, 0.2586, 0.8201) [8 per cell]

Crystal system: monoclinic
Magnetization: 28.0 μB per cell
Electronic total energy: -7.050 eV/atom



The highest electronic total energy belongs to which entry? Mn3PbO



Number 2 is which compound? Mn4PbO8